The following is a DFT calculation (SCAN) of a PBEsol-optimized structure of BaMgGe.

Structure (POSCAR):
```
BaMgGe
1.0
-4.388 -0.464 1.423
1.073 -4.047 1.991
1.756 3.729 6.634
Mg Ba Ge
2 2 2
direct
0.000 0.000 0.000 Mg
0.500 0.500 0.000 Mg
0.500 0.000 0.659 Ba
0.000 0.500 0.341 Ba
0.000 0.500 0.792 Ge
0.500 0.000 0.208 Ge
```

Output
The calculation puts the energy relative to the elements at -0.5881 eV per atom. Its crystal system is tetragonal. Its symmetry is P4/nmm, No. 129.

---

The following is a DFT calculation (SCAN) of a PBEsol-optimized structure of FeNiAg3.

Structure (POSCAR):
```
FeNiAg3
1.0
-1.449 3.805 -2.219
-2.248 -2.648 -3.072
-3.788 0.116 2.672
Fe Ag Ni
1 3 1
direct
0.000 0.000 0.000 Fe
0.500 0.000 0.000 Ag
0.000 0.500 0.000 Ag
0.000 0.000 0.500 Ag
0.500 0.500 0.500 Ni
```

Output
The calculation puts the energy relative to the elements at 1.3785 eV per atom. Its crystal system is cubic. Its symmetry is Pm-3m, No. 221.

---

The following is a DFT calculation (SCAN) of a PBEsol-optimized structure of ScRePt2.

Structure (POSCAR):
```
ScRePt2
1.0
-1.488 -2.205 -2.914
-2.332 -1.849 2.591
-0.929 4.751 -0.450
Pt Re Sc
2 1 1
direct
0.000 0.000 0.000 Pt
0.750 0.250 0.500 Pt
0.500 0.500 0.000 Re
0.250 0.750 0.500 Sc
```

Output
The calculation puts the energy relative to the elements at -0.4713 eV per atom. Its crystal system is tetragonal. Its symmetry is I-4m2, No. 119.

---

The following is a DFT calculation (SCAN) of a PBEsol-optimized structure of ZrTa2Fe.

Structure (POSCAR):
```
ZrTa2Fe
1.0
0.005 -2.460 -1.780
0.567 -1.746 2.419
-7.138 -0.804 1.092
Zr Ta Fe
1 2 1
direct
0.500 0.500 0.500 Zr
0.000 0.000 0.205 Ta
0.000 0.000 0.795 Ta
0.500 0.500 0.000 Fe
```

Output
The calculation puts the energy relative to the elements at 0.0238 eV per atom. Its crystal system is tetragonal. Its symmetry is P4/mmm, No. 123. The energy above the most stable polymorph in this dataset is 25.7 meV/atom.

---

The following is a DFT calculation (SCAN) of a PBEsol-optimized structure of CsDyS2.

Structure (POSCAR):
```
CsDyS2
1.0
4.028 0.000 0.000
-2.014 3.488 0.000
0.000 0.000 15.829
Dy S Cs
2 4 2
direct
0.000 0.000 0.000 Dy
0.000 0.000 0.500 Dy
0.667 0.333 0.092 S
0.667 0.333 0.408 S
0.333 0.667 0.592 S
0.333 0.667 0.908 S
0.667 0.333 0.750 Cs
0.333 0.667 0.250 Cs
```

Output
Its crystal system is hexagonal. Its symmetry is P6_3/mmc, No. 194.

---

The following is a DFT calculation (SCAN) of a PBEsol-optimized structure of LiTl2Pt.

Structure (POSCAR):
```
LiTl2Pt
1.0
-1.306 2.751 2.229
-3.952 -1.453 -0.522
1.028 -3.937 3.177
Tl Li Pt
2 1 1
direct
0.769 0.500 0.339 Tl
0.982 0.000 0.915 Tl
0.325 0.000 0.473 Li
0.424 0.500 0.773 Pt
```

Output
The calculation puts the energy relative to the elements at -0.1719 eV per atom. Its crystal system is monoclinic. Its symmetry is Pm, No. 6.

---

The following is a DFT calculation (SCAN) of a PBEsol-optimized structure of KLiTaFe2.

Structure (POSCAR):
```
KLiTaFe2
1.0
4.522 0.000 0.000
0.000 4.522 0.000
0.000 0.000 5.549
Li Ta K Fe
1 1 1 2
direct
0.000 0.000 0.500 Li
0.000 0.000 0.000 Ta
0.500 0.500 0.500 K
0.000 0.500 0.000 Fe
0.500 0.000 0.000 Fe
```

Output
The calculation puts the energy relative to the elements at 1.1874 eV per atom. Its crystal system is tetragonal. Its symmetry is P4/mmm, No. 123.

---

The following is a DFT calculation (SCAN) of a PBEsol-optimized structure of LiLaFe2.

Structure (POSCAR):
```
LiLaFe2
1.0
-3.829 0.250 2.373
0.960 -3.735 -2.346
1.093 -3.804 2.165
Fe La Li
2 1 1
direct
0.000 0.000 0.000 Fe
0.250 0.500 0.250 Fe
0.500 0.000 0.500 La
0.750 0.500 0.750 Li
```

Output
The calculation puts the energy relative to the elements at 0.4164 eV per atom. Its crystal system is cubic. Its symmetry is F-43m, No. 216. The energy above the most stable polymorph in this dataset is 139.8 meV/atom.

---

The following is a DFT calculation (SCAN) of a PBEsol-optimized structure of NiPb2W.

Structure (POSCAR):
```
NiPb2W
1.0
-0.759 -0.802 -2.804
-1.741 -2.200 1.100
-7.074 5.734 0.274
W Ni Pb
1 1 2
direct
0.000 0.000 0.559 W
0.500 0.500 0.710 Ni
0.000 0.000 0.925 Pb
0.500 0.500 0.306 Pb
```

Output
The calculation puts the energy relative to the elements at 0.4490 eV per atom. Its crystal system is tetragonal. Its symmetry is P4mm, No. 99. The energy above the most stable polymorph in this dataset is 0.0 meV/atom.

---

The following is a DFT calculation (SCAN) of a PBEsol-optimized structure of Fe2NiB2.

Structure (POSCAR):
```
Fe2NiB2
1.0
2.930 0.000 0.000
0.000 5.293 0.000
0.000 0.000 5.293
Fe B Ni
4 4 2
direct
0.500 0.330 0.170 Fe
0.500 0.830 0.330 Fe
0.500 0.670 0.830 Fe
0.500 0.170 0.670 Fe
0.000 0.621 0.121 B
0.000 0.121 0.379 B
0.000 0.879 0.621 B
0.000 0.379 0.879 B
0.000 0.000 0.000 Ni
0.000 0.500 0.500 Ni
```

Output
The calculation puts the energy relative to the elements at -0.2792 eV per atom. Its crystal system is tetragonal. Its symmetry is P4/mbm, No. 127.

---

The following is a DFT calculation (SCAN) of a PBEsol-optimized structure of CoBCl2.

Structure (POSCAR):
```
CoBCl2
1.0
4.303 0.000 0.000
2.152 3.727 0.000
2.152 1.242 3.514
Cl B Co
2 1 1
direct
0.750 0.750 0.750 Cl
0.250 0.250 0.250 Cl
0.000 0.000 0.000 B
0.500 0.500 0.500 Co
```

Output
Its crystal system is cubic. Its symmetry is Fm-3m, No. 225.

---

The following is a DFT calculation (SCAN) of a PBEsol-optimized structure of Zn2CdPt2.

Structure (POSCAR):
```
Zn2CdPt2
1.0
3.960 0.000 0.000
0.000 3.960 0.000
-1.980 -1.980 5.354
Zn Pt Cd
2 2 1
direct
0.608 0.608 0.217 Zn
0.392 0.392 0.783 Zn
0.250 0.750 0.500 Pt
0.750 0.250 0.500 Pt
0.000 0.000 0.000 Cd
```

Output
The calculation puts the energy relative to the elements at -0.2247 eV per atom. Its crystal system is tetragonal. Its symmetry is I4/mmm, No. 139. The energy above the most stable polymorph in this dataset is 261.0 meV/atom.

---

The following is a DFT calculation (SCAN) of a PBEsol-optimized structure of TaWC.

Structure (POSCAR):
```
TaWC
1.0
-2.700 1.269 -0.747
0.264 -3.059 0.179
-1.191 0.165 4.588
Ta W C
1 1 1
direct
0.333 0.667 0.745 Ta
0.667 0.333 0.250 W
0.000 0.000 0.006 C
```

Output
The calculation puts the energy relative to the elements at -0.2717 eV per atom. Its crystal system is trigonal. Its symmetry is P3m1, No. 156.

---

The following is a DFT calculation (SCAN) of a PBEsol-optimized structure of SrW2Cl.

Structure (POSCAR):
```
SrW2Cl
1.0
-2.821 -1.701 0.375
-0.030 -0.668 -3.247
4.509 -7.162 1.431
W Sr Cl
2 1 1
direct
0.000 0.000 0.044 W
0.500 0.500 0.166 W
0.500 0.500 0.744 Sr
0.000 0.000 0.545 Cl
```

Output
Its crystal system is tetragonal. Its symmetry is P4mm, No. 99.

---

The following is a DFT calculation (SCAN) of a PBEsol-optimized structure of SrZnSCl2.

Structure (POSCAR):
```
SrZnSCl2
1.0
-5.202 0.628 1.470
-0.587 -5.405 0.233
1.594 0.069 5.612
Zn Cl S Sr
1 2 1 1
direct
0.500 0.500 0.500 Zn
0.000 0.500 0.000 Cl
0.500 0.000 0.000 Cl
0.000 0.000 0.500 S
0.000 0.000 0.000 Sr
```

Output
Its crystal system is tetragonal. Its symmetry is P4/mmm, No. 123.

---

The following is a DFT calculation (SCAN) of a PBEsol-optimized structure of KSr3.

Structure (POSCAR):
```
KSr3
1.0
-3.052 1.959 -2.109
-2.805 -6.453 2.239
-1.603 4.048 6.081
Sr K
3 1
direct
0.500 0.000 0.500 Sr
0.752 0.504 0.257 Sr
0.248 0.496 0.743 Sr
0.000 0.000 0.000 K
```

Output
The calculation puts the energy relative to the elements at 0.0864 eV per atom. Its crystal system is monoclinic. Its symmetry is C2/m, No. 12. The energy above the most stable polymorph in this dataset is 35.6 meV/atom.

---

The following is a DFT calculation (SCAN) of a PBEsol-optimized structure of CaHgPb2.

Structure (POSCAR):
```
CaHgPb2
1.0
-2.680 -1.675 -3.348
3.640 -2.130 -1.848
-1.452 -2.232 5.446
Pb Hg Ca
2 1 1
direct
0.250 0.750 0.500 Pb
0.750 0.250 0.500 Pb
0.000 0.000 0.000 Hg
0.500 0.500 0.000 Ca
```

Output
The calculation puts the energy relative to the elements at -0.4066 eV per atom. Its crystal system is tetragonal. Its symmetry is I4/mmm, No. 139.

---

The following is a DFT calculation (SCAN) of a PBEsol-optimized structure of ScRh2Pb.

Structure (POSCAR):
```
ScRh2Pb
1.0
3.879 0.000 0.000
0.000 3.879 0.000
-1.940 -1.940 4.459
Rh Sc Pb
2 1 1
direct
0.000 0.000 0.000 Rh
0.750 0.250 0.500 Rh
0.500 0.500 0.000 Sc
0.250 0.750 0.500 Pb
```

Output
The calculation puts the energy relative to the elements at -0.5832 eV per atom. Its crystal system is tetragonal. Its symmetry is I-4m2, No. 119.

---

The following is a DFT calculation (SCAN) of a PBEsol-optimized structure of MnAsOs2.

Structure (POSCAR):
```
MnAsOs2
1.0
2.807 0.000 0.000
0.000 3.817 0.000
0.000 0.000 5.152
Os Mn As
2 1 1
direct
0.500 0.500 0.240 Os
0.000 0.000 0.002 Os
0.500 0.500 0.749 Mn
0.000 0.000 0.509 As
```

Output
The calculation puts the energy relative to the elements at 0.1641 eV per atom. Its crystal system is orthorhombic. Its symmetry is Pmm2, No. 25.

---

The following is a DFT calculation (SCAN) of a PBEsol-optimized structure of Ba2MnAu.

Structure (POSCAR):
```
Ba2MnAu
1.0
-2.734 -0.370 -3.481
1.387 -2.013 -3.709
-3.228 -8.172 0.569
Ba Au Mn
2 1 1
direct
0.255 0.255 0.235 Ba
0.745 0.745 0.765 Ba
0.000 0.000 0.000 Au
0.500 0.500 0.500 Mn
```

Output
The calculation puts the energy relative to the elements at -0.0948 eV per atom. Its crystal system is trigonal. Its symmetry is R-3m, No. 166. The energy above the most stable polymorph in this dataset is 162.7 meV/atom.

---

The following is a DFT calculation (SCAN) of a PBEsol-optimized structure of TlZnSi2.

Structure (POSCAR):
```
TlZnSi2
1.0
2.888 0.000 0.000
0.000 4.996 0.000
-1.444 -2.498 5.094
Zn Tl Si
1 1 2
direct
0.500 0.000 0.000 Zn
0.000 0.500 0.000 Tl
0.218 0.218 0.436 Si
0.782 0.782 0.564 Si
```

Output
Its crystal system is orthorhombic. Its symmetry is Immm, No. 71. The energy above the most stable polymorph in this dataset is 186.3 meV/atom.

---

The following is a DFT calculation (SCAN) of a PBEsol-optimized structure of Ni3SbMo.

Structure (POSCAR):
```
Ni3SbMo
1.0
-3.456 -1.124 -2.621
1.293 -4.288 0.134
-2.542 -0.653 3.632
Sb Ni Mo
1 3 1
direct
0.000 0.000 0.000 Sb
0.000 0.500 0.000 Ni
0.500 0.000 0.000 Ni
0.000 0.000 0.500 Ni
0.500 0.500 0.500 Mo
```

Output
Its crystal system is cubic. Its symmetry is Pm-3m, No. 221.

---

The following is a DFT calculation (SCAN) of a PBEsol-optimized structure of BaCa2Pt.

Structure (POSCAR):
```
BaCa2Pt
1.0
-1.343 -2.351 2.770
3.757 -2.146 0.001
1.120 6.326 5.911
Pt Ca Ba
1 2 1
direct
0.000 0.859 0.717 Pt
0.000 0.025 0.050 Ca
0.500 0.388 0.775 Ca
0.500 0.709 0.417 Ba
```

Output
The calculation puts the energy relative to the elements at -0.5381 eV per atom. Its crystal system is orthorhombic. Its symmetry is Amm2, No. 38. The energy above the most stable polymorph in this dataset is 0.0 meV/atom.

---

The following is a DFT calculation (SCAN) of a PBEsol-optimized structure of BaCdTcSn2.

Structure (POSCAR):
```
BaCdTcSn2
1.0
5.826 0.000 0.000
0.000 5.972 0.000
0.000 0.000 5.972
Ba Sn Tc Cd
1 2 1 1
direct
0.000 0.000 0.000 Ba
0.000 0.500 0.000 Sn
0.000 0.000 0.500 Sn
0.500 0.500 0.500 Tc
0.500 0.000 0.000 Cd
```

Output
The calculation puts the energy relative to the elements at 1.7927 eV per atom. Its crystal system is tetragonal. Its symmetry is P4/mmm, No. 123.

---

The following is a DFT calculation (SCAN) of a PBEsol-optimized structure of ZrBe2As.

Structure (POSCAR):
```
ZrBe2As
1.0
-1.449 -1.991 -2.703
2.141 -2.816 0.927
-3.407 0.965 3.588
Be Zr As
2 1 1
direct
0.250 0.750 0.500 Be
0.750 0.250 0.500 Be
0.000 0.000 0.000 Zr
0.500 0.500 0.000 As
```

Output
The calculation puts the energy relative to the elements at -0.1085 eV per atom. Its crystal system is tetragonal. Its symmetry is I4/mmm, No. 139.

---

The following is a DFT calculation (SCAN) of a PBEsol-optimized structure of LaYTa2Pd.

Structure (POSCAR):
```
LaYTa2Pd
1.0
4.957 0.000 0.000
0.000 4.957 0.000
0.000 0.000 5.183
Pd Y La Ta
1 1 1 2
direct
0.000 0.000 0.000 Pd
0.000 0.000 0.500 Y
0.500 0.500 0.500 La
0.000 0.500 0.000 Ta
0.500 0.000 0.000 Ta
```

Output
The calculation puts the energy relative to the elements at 0.6245 eV per atom. Its crystal system is tetragonal. Its symmetry is P4/mmm, No. 123.

---

The following is a DFT calculation (SCAN) of a PBEsol-optimized structure of BaSr2Cu2.

Structure (POSCAR):
```
BaSr2Cu2
1.0
-1.664 -3.517 -2.487
5.240 1.793 -6.043
5.568 -5.000 3.345
Cu Sr Ba
4 4 2
direct
0.000 0.895 0.605 Cu
0.000 0.105 0.395 Cu
0.000 0.395 0.895 Cu
0.000 0.605 0.105 Cu
0.500 0.666 0.834 Sr
0.500 0.166 0.666 Sr
0.500 0.834 0.334 Sr
0.500 0.334 0.166 Sr
0.000 0.500 0.500 Ba
0.000 0.000 0.000 Ba
```

Output
The calculation puts the energy relative to the elements at 0.0286 eV per atom. Its crystal system is tetragonal. Its symmetry is P4/mbm, No. 127.

---

E
In order: -21.7920 -24.3023 -56.9015 -45.4749 -28.3239 -54.4968 -21.5248 -20.0221 -58.9068 -13.7375 -9.1295 -39.7909 -49.0621 -42.3313 -13.0439 -18.7022 -57.7545 -39.9735 -45.3873 -41.7229 -25.8413 -22.8177 -32.8056 -33.5807 -15.0077 -46.7532 -22.8712
Unit: eV per atom
Magnetic moment
In order: 0.0000 0.7784 0.3707 0.2384 0.0000 0.0000 0.6090 1.3178 0.0000 0.9317 0.5499 0.0000 0.0000 0.0805 0.4013 0.0945 0.0000 0.0000 0.8166 0.9569 0.0000 0.5843 0.0332 0.8740 0.0000 0.0002 0.0000
Unit: μB/atom
D(E_F)
In order: 0.4 7.2 4.0 3.6 0.0 1.3 3.9 3.4 2.2 4.1 4.0 1.6 0.9 2.8 2.4 4.3 2.1 1.7 2.7 3.2 1.4 2.8 3.0 3.3 1.6 4.3 5.3
Unit: states/eV/cell